The following is a DFT calculation (GGA-PBE) of Ca5Hg3Cl16 after structural relaxation.

Geometry as POSCAR:
```
Ca5Hg3Cl16
1.0
6.952 -4.046 0.000
6.952 4.046 0.000
-0.133 0.000 12.674
Ca Hg Cl
5 3 16
direct
0.000 0.000 0.000 Ca
0.167 0.167 0.730 Ca
0.168 0.665 0.499 Ca
0.500 0.500 0.228 Ca
0.665 0.168 0.499 Ca
0.495 0.999 0.998 Hg
0.663 0.663 0.497 Hg
0.999 0.495 0.998 Hg
0.161 0.669 0.116 Cl
0.171 0.171 0.116 Cl
0.315 0.862 0.870 Cl
0.320 0.320 0.875 Cl
0.346 0.805 0.370 Cl
0.349 0.349 0.371 Cl
0.502 0.998 0.615 Cl
0.503 0.503 0.616 Cl
0.669 0.161 0.116 Cl
0.670 0.670 0.113 Cl
0.805 0.346 0.370 Cl
0.827 0.827 0.888 Cl
0.828 0.828 0.388 Cl
0.862 0.315 0.870 Cl
0.998 0.502 0.615 Cl
0.999 0.999 0.614 Cl
```

Calculated values
ΔE_f (raw), eV per formula unit: -40.57
VASP energy, eV per atom: -3.38
DOS(E_F), states/eV/cell: 0.0

***

The following is a DFT calculation (GGA-PBE) of CaHgCl2 after structural relaxation.

Geometry as POSCAR:
```
CaHgCl2
1.0
-4.081 4.081 5.559
4.081 -4.081 5.559
4.081 4.081 -5.559
Ca Hg Cl
2 2 4
direct
0.000 0.000 0.000 Ca
0.750 0.250 0.500 Ca
0.250 0.750 0.500 Hg
0.500 0.500 0.000 Hg
0.375 0.233 0.358 Cl
0.767 0.125 0.142 Cl
0.875 0.017 0.642 Cl
0.983 0.625 0.858 Cl
```

Calculated values
ΔE_f (raw), eV per formula unit: -6.53
Energy above the most stable polymorph in this dataset, kcal/mol of atoms: 3.04
VASP energy, eV per atom: -3.13
DOS(E_F), states/eV/cell: 0.0

***

The following is a DFT calculation (GGA-PBE) of Ca4HgCl after structural relaxation.

Geometry as POSCAR:
```
Ca4HgCl
1.0
0.000 4.921 4.921
4.921 0.000 4.921
4.921 4.921 0.000
Ca Hg Cl
4 1 1
direct
0.376 0.376 0.376 Ca
0.376 0.376 0.872 Ca
0.376 0.872 0.376 Ca
0.872 0.376 0.376 Ca
0.750 0.750 0.750 Hg
0.000 0.000 0.000 Cl
```

Calculated values
ΔE_f (raw), eV per formula unit: 0.11
VASP energy, eV per atom: -1.67
DOS(E_F), states/eV/cell: 8.4

***

The following is a DFT calculation (GGA-PBE) of Ca4HgCl2 after structural relaxation.

Geometry as POSCAR:
```
Ca4HgCl2
1.0
-2.983 2.983 7.195
2.983 -2.983 7.195
2.983 2.983 -7.195
Ca Hg Cl
4 1 2
direct
0.000 0.500 0.500 Ca
0.211 0.211 0.000 Ca
0.500 0.000 0.500 Ca
0.789 0.789 0.000 Ca
0.000 0.000 0.000 Hg
0.393 0.393 0.000 Cl
0.607 0.607 0.000 Cl
```

Calculated values
ΔE_f (raw), eV per formula unit: -5.84
VASP energy, eV per atom: -2.55
DOS(E_F), states/eV/cell: 6.5

***

The following is a DFT calculation (GGA-PBE) of CaHg2Cl6 after structural relaxation.

Geometry as POSCAR:
```
CaHg2Cl6
1.0
4.128 0.000 0.000
0.815 6.895 0.000
0.460 1.833 9.766
Ca Hg Cl
1 2 6
direct
0.000 0.000 0.000 Ca
0.368 0.421 0.317 Hg
0.632 0.579 0.683 Hg
0.022 0.387 0.839 Cl
0.235 0.738 0.523 Cl
0.460 0.109 0.149 Cl
0.540 0.891 0.851 Cl
0.765 0.262 0.477 Cl
0.978 0.613 0.161 Cl
```

Calculated values
ΔE_f (raw), eV per formula unit: -10.60
Energy above the most stable polymorph in this dataset, kcal/mol of atoms: 0.00
VASP energy, eV per atom: -2.70
DOS(E_F), states/eV/cell: 0.0

***

The following is a DFT calculation (GGA-PBE) of Ca12Hg3Cl5 after structural relaxation.

Geometry as POSCAR:
```
Ca12Hg3Cl5
1.0
-8.745 8.745 8.745
8.745 -8.745 8.745
8.745 8.745 -8.745
Ca Hg Cl
48 12 20
direct
0.048 0.225 0.134 Ca
0.048 0.324 0.914 Ca
0.086 0.634 0.410 Ca
0.086 0.952 0.676 Ca
0.090 0.725 0.676 Ca
0.090 0.866 0.414 Ca
0.134 0.048 0.225 Ca
0.134 0.586 0.910 Ca
0.176 0.225 0.590 Ca
0.176 0.452 0.586 Ca
0.225 0.134 0.048 Ca
0.225 0.590 0.176 Ca
0.275 0.324 0.910 Ca
0.275 0.452 0.366 Ca
0.324 0.910 0.275 Ca
0.324 0.914 0.048 Ca
0.366 0.275 0.452 Ca
0.366 0.590 0.914 Ca
0.410 0.086 0.634 Ca
0.410 0.824 0.775 Ca
0.414 0.090 0.866 Ca
0.414 0.824 0.548 Ca
0.452 0.366 0.275 Ca
0.452 0.586 0.176 Ca
0.548 0.414 0.824 Ca
0.548 0.634 0.725 Ca
0.586 0.176 0.452 Ca
0.586 0.910 0.134 Ca
0.590 0.176 0.225 Ca
0.590 0.914 0.366 Ca
0.634 0.410 0.086 Ca
0.634 0.725 0.548 Ca
0.676 0.086 0.952 Ca
0.676 0.090 0.725 Ca
0.725 0.548 0.634 Ca
0.725 0.676 0.090 Ca
0.775 0.410 0.824 Ca
0.775 0.866 0.952 Ca
0.824 0.548 0.414 Ca
0.824 0.775 0.410 Ca
0.866 0.414 0.090 Ca
0.866 0.952 0.775 Ca
0.910 0.134 0.586 Ca
0.910 0.275 0.324 Ca
0.914 0.048 0.324 Ca
0.914 0.366 0.590 Ca
0.952 0.676 0.086 Ca
0.952 0.775 0.866 Ca
0.125 0.250 0.375 Hg
0.125 0.375 0.750 Hg
0.250 0.375 0.125 Hg
0.250 0.875 0.625 Hg
0.375 0.125 0.250 Hg
0.375 0.750 0.125 Hg
0.625 0.250 0.875 Hg
0.625 0.875 0.750 Hg
0.750 0.125 0.375 Hg
0.750 0.625 0.875 Hg
0.875 0.625 0.250 Hg
0.875 0.750 0.625 Hg
0.000 0.000 0.000 Cl
0.000 0.000 0.500 Cl
0.000 0.500 0.000 Cl
0.000 0.500 0.500 Cl
0.125 0.750 0.875 Cl
0.125 0.875 0.250 Cl
0.250 0.125 0.875 Cl
0.250 0.625 0.375 Cl
0.375 0.250 0.625 Cl
0.375 0.625 0.750 Cl
0.500 0.000 0.000 Cl
0.500 0.000 0.500 Cl
0.500 0.500 0.000 Cl
0.500 0.500 0.500 Cl
0.625 0.375 0.250 Cl
0.625 0.750 0.375 Cl
0.750 0.375 0.625 Cl
0.750 0.875 0.125 Cl
0.875 0.125 0.750 Cl
0.875 0.250 0.125 Cl
```

Calculated values
ΔE_f (raw), eV per formula unit: -17.84
VASP energy, eV per atom: -2.60
DOS(E_F), states/eV/cell: 55.6

***

The following is a DFT calculation (GGA-PBE) of CaHgCl2 after structural relaxation.

Geometry as POSCAR:
```
CaHgCl2
1.0
3.560 -2.055 0.000
3.560 2.055 0.000
-2.287 0.000 9.901
Ca Hg Cl
1 1 2
direct
0.000 0.000 0.000 Ca
0.167 0.167 0.499 Hg
0.379 0.379 0.142 Cl
0.621 0.621 0.857 Cl
```

Calculated values
ΔE_f (raw), eV per formula unit: -7.06
Energy above the most stable polymorph in this dataset, kcal/mol of atoms: 0.01
VASP energy, eV per atom: -3.26
DOS(E_F), states/eV/cell: 0.0

***

The following is a DFT calculation (GGA-PBE) of Ca3HgCl after structural relaxation.

Geometry as POSCAR:
```
Ca3HgCl
1.0
5.359 0.000 0.000
0.000 5.359 0.000
0.000 0.000 5.359
Ca Hg Cl
3 1 1
direct
0.000 0.000 0.500 Ca
0.000 0.500 0.000 Ca
0.500 0.000 0.000 Ca
0.500 0.500 0.500 Hg
0.000 0.000 0.000 Cl
```

Calculated values
ΔE_f (raw), eV per formula unit: -3.07
Energy above the most stable polymorph in this dataset, kcal/mol of atoms: 0.00
VASP energy, eV per atom: -2.24
DOS(E_F), states/eV/cell: 7.5

***

The following is a DFT calculation (GGA-PBE) of CaHgCl5 after structural relaxation.

Geometry as POSCAR:
```
CaHgCl5
1.0
5.007 -4.757 0.000
5.007 4.757 0.000
-2.330 0.000 8.853
Ca Hg Cl
2 2 10
direct
0.048 0.952 0.750 Ca
0.952 0.048 0.250 Ca
0.000 0.500 0.000 Hg
0.500 0.000 0.500 Hg
0.179 0.196 0.536 Cl
0.196 0.179 0.036 Cl
0.215 0.604 0.840 Cl
0.235 0.765 0.250 Cl
0.396 0.785 0.660 Cl
0.604 0.215 0.340 Cl
0.765 0.235 0.750 Cl
0.785 0.396 0.160 Cl
0.804 0.821 0.964 Cl
0.821 0.804 0.464 Cl
```

Calculated values
ΔE_f (raw), eV per formula unit: -7.99
VASP energy, eV per atom: -2.79
DOS(E_F), states/eV/cell: 3.1

***

The following is a DFT calculation (GGA-PBE) of CaHgCl4 after structural relaxation.

Geometry as POSCAR:
```
CaHgCl4
1.0
0.000 4.272 4.272
4.272 0.000 4.272
4.272 4.272 0.000
Ca Hg Cl
1 1 4
direct
0.000 0.000 0.000 Ca
0.250 0.250 0.250 Hg
0.124 0.625 0.625 Cl
0.625 0.124 0.625 Cl
0.625 0.625 0.124 Cl
0.625 0.625 0.625 Cl
```

Calculated values
ΔE_f (raw), eV per formula unit: -2.81
Energy above the most stable polymorph in this dataset, kcal/mol of atoms: 22.92
VASP energy, eV per atom: -2.08
DOS(E_F), states/eV/cell: 0.7

***

The following is a DFT calculation (GGA-PBE) of CaHgCl2 after structural relaxation.

Geometry as POSCAR:
```
CaHgCl2
1.0
-2.227 2.227 5.047
2.227 -2.227 5.047
2.227 2.227 -5.047
Ca Hg Cl
1 1 2
direct
0.000 0.000 0.000 Ca
0.750 0.250 0.500 Hg
0.250 0.750 0.500 Cl
0.500 0.500 0.000 Cl
```

Calculated values
ΔE_f (raw), eV per formula unit: -5.12
Energy above the most stable polymorph in this dataset, kcal/mol of atoms: 11.16
VASP energy, eV per atom: -2.78

***

The following is a DFT calculation (GGA-PBE) of CaHgCl2 after structural relaxation.

Geometry as POSCAR:
```
CaHgCl2
1.0
-1.977 3.446 5.030
1.977 -3.446 5.030
1.977 3.446 -5.030
Ca Hg Cl
1 1 2
direct
0.000 0.000 0.000 Ca
0.500 0.500 0.000 Hg
0.178 0.678 0.500 Cl
0.822 0.322 0.500 Cl
```

Calculated values
ΔE_f (raw), eV per formula unit: -6.29
Energy above the most stable polymorph in this dataset, kcal/mol of atoms: 4.40
VASP energy, eV per atom: -3.07
DOS(E_F), states/eV/cell: 0.0

***

no.,calculated volume (Å³ per cell)
1,713
2,370
3,238
4,256
5,278
6,2675
7,145
8,154
9,422
10,156
11,100
12,137